This record from Alexandria via LeMat-Bulk describes a geometry-optimized CsSrNiF6 structure. The functional is GGA+U.

Calculated values
**M_tot**: 4.00 μB per cell
**DFT total energy**: -4.562 eV per atom

Lattice parameters (Å, degrees): 7.7758 7.9970 10.1489 90.00 90.00 90.00
Closest atoms and distances in Å follow each position.
Space group Imma (No. 74)
Inequivalent atoms, fractional coordinates:
Cs 0.0000 0.2500 0.0969 (multiplicity 4)  5 F 2.85-3.11
Sr 0.0000 0.0000 0.5000 (multiplicity 4)  6 F 2.35-2.61
Ni 0.2500 0.2500 0.7500 (multiplicity 4)  6 F 1.84-2.05
F 0.0000 0.2500 0.3775 (multiplicity 4)  2 Sr 2.35
F 0.0000 0.2500 0.6844 (multiplicity 4)  2 Ni 2.05
F 0.2198 0.0865 0.8756 (multiplicity 16)  1 Ni 1.84